Computed, not measured: a geometry-optimized LaAl2GaHg structure at the PBE level of DFT.

Calculated values
Space-group type: No. 119
Calculated total energy in eV/atom: -3.550

```
10
Lattice="4.5390 0.0000 0.0000 0.0000 4.5390 0.0000 0.0000 0.0000 10.7739" Properties=species:S:1:pos:R:3 pbc="T T T"
La 0.0000 0.0000 0.0000
La 2.2695 2.2695 5.3869
Al 0.0000 0.0000 4.1181
Al 0.0000 0.0000 6.6558
Al 2.2695 2.2695 1.2689
Al 2.2695 2.2695 9.5050
Ga 0.0000 2.2695 8.0804
Ga 2.2695 0.0000 2.6935
Hg 0.0000 2.2695 2.6935
Hg 2.2695 0.0000 8.0804
```



Computed, not measured: a geometry-optimized Li4Al2GaHg structure at the PBE level of DFT.

Calculated values
Space-group type: No. 115
Calculated total energy in eV/atom: -2.594

```
8
Lattice="4.4497 0.0000 0.0000 0.0000 4.4497 0.0000 0.0000 0.0000 6.3179" Properties=species:S:1:pos:R:3 pbc="T T T"
Li 0.0000 0.0000 0.0000
Li 0.0000 2.2249 4.7203
Li 2.2249 0.0000 1.5976
Li 2.2249 2.2249 3.1589
Al 0.0000 2.2249 1.6111
Al 2.2249 0.0000 4.7068
Ga 0.0000 0.0000 3.1589
Hg 2.2249 2.2249 0.0000
```



Computed, not measured: a geometry-optimized Na4Al2GaHg structure at the PBE level of DFT.

Calculated values
Space-group type: No. 115
Calculated total energy in eV/atom: -2.008

```
8
Lattice="4.9334 0.0000 0.0000 0.0000 4.9334 0.0000 0.0000 0.0000 7.0498" Properties=species:S:1:pos:R:3 pbc="T T T"
Na 0.0000 0.0000 0.0000
Na 0.0000 2.4667 5.2650
Na 2.4667 0.0000 1.7849
Na 2.4667 2.4667 3.5249
Al 0.0000 2.4667 1.7995
Al 2.4667 0.0000 5.2504
Ga 0.0000 0.0000 3.5249
Hg 2.4667 2.4667 0.0000
```



Computed, not measured: a geometry-optimized AlGaHgS4 structure at the PBE level of DFT.

Calculated values
Space-group type: No. 82
Calculated total energy in eV/atom: -4.052

```
14
Lattice="5.6292 0.0000 0.0000 0.0000 5.6292 0.0000 0.0000 0.0000 10.2739" Properties=species:S:1:pos:R:3 pbc="T T T"
Al 0.0000 0.0000 0.0000
Al 2.8146 2.8146 5.1370
Ga 0.0000 2.8146 2.5685
Ga 2.8146 0.0000 7.7054
Hg 0.0000 2.8146 7.7054
Hg 2.8146 0.0000 2.5685
S 1.2631 1.5023 1.1515
S 1.3123 4.0777 3.9855
S 1.5023 4.3661 9.1224
S 1.5515 1.3123 6.2884
S 4.0777 4.3169 6.2884
S 4.1269 1.2631 9.1224
S 4.3169 1.5515 3.9855
S 4.3661 4.1269 1.1515
```



Computed, not measured: a geometry-optimized AlGaHgTeS3 structure at the PBE level of DFT.

Calculated values
Space-group type: No. 1
Calculated total energy in eV/atom: -3.812

```
7
Lattice="5.7381 0.0000 0.0000 -0.2492 5.9121 0.0000 -2.5877 -2.7012 5.3542" Properties=species:S:1:pos:R:3 pbc="T T T"
Al 0.0000 0.0000 0.0000
Ga -0.0257 3.2355 2.8066
Hg 2.9780 0.2309 2.7340
Te 1.4871 1.9028 1.1030
S -1.3304 1.9471 4.2106
S 1.6191 -1.4532 4.2129
S 4.3735 4.5506 1.4340
```



Computed, not measured: a geometry-optimized AlGaHgTe3S structure at the PBE level of DFT.

Calculated values
Space-group type: No. 1
Calculated total energy in eV/atom: -3.358

```
7
Lattice="6.1124 0.0000 0.0000 -0.2142 6.1939 0.0000 -2.7769 -3.1638 5.7500" Properties=species:S:1:pos:R:3 pbc="T T T"
Al 0.0000 0.0000 0.0000
Ga 3.3675 -0.0540 2.6976
Hg 0.0870 2.9258 2.7746
Te -1.2403 -1.4891 4.3759
Te 1.6581 4.6331 1.0794
Te 1.7308 1.2238 4.3731
S 4.6914 1.2483 1.2762
```



What is the calculated total energy in the third record?
-2.008 eV/atom



The lowest calculated total energy belongs to which entry?
AlGaHgS4



Among the records above, which one has the lowest calculated total energy?
AlGaHgS4



The lowest calculated total energy belongs to which entry?
AlGaHgS4